[1]
Material: SrMgTc2
Method: DFT, PBE-GGA
State: optimized geometry

Magnetization (μB per formula unit): 0.00
Energy of formation (eV per atom): 0.86
Symmetry: Immm (71)

Cell lengths 5.698, 5.698, 5.698 Å; angles 145.54, 131.83, 60.56 degrees
Sites, in units of the cell vectors:
1 Mg 0.750 0.250 0.500
2 Sr 0.250 0.750 0.500
3 Tc 0.510 0.510 0.000
4 Tc 0.990 0.990 0.000

---

[2]
Material: PmScCoGe2
Method: DFT, PBE-GGA
State: optimized geometry

Magnetization (μB per formula unit): 0.00
Energy of formation (eV per atom): -0.64
Symmetry: I-4m2 (119)

Cell lengths 4.104, 4.104, 6.415 Å; angles 108.66, 108.66, 90.00 degrees
Sites, in units of the cell vectors:
1 Sc 0.250 0.750 0.500
2 Ge 0.611 0.611 0.222
3 Ge 0.389 0.389 0.778
4 Pm 0.000 0.000 0.000
5 Co 0.750 0.250 0.500

---

[3]
Material: PuTh
Method: DFT, PBE-GGA
State: optimized geometry

Magnetization (μB per formula unit): 5.73
Energy of formation (eV per atom): 0.18
Symmetry: R-3m (166)

Cell lengths 5.899, 5.899, 5.899 Å; angles 34.47, 34.47, 34.47 degrees
Each line ends with the local moment (μB).
Sites, in units of the cell vectors:
1 Pu 0.000 0.000 0.000  5.35
2 Th 0.500 0.500 0.500  0.04

---

[4]
Material: Ca7Mg3
Method: DFT, PBE-GGA
State: optimized geometry

Magnetization (μB per formula unit): 0.00
Energy of formation (eV per atom): -0.02
Symmetry: C2/m (12)

Cell lengths 5.561, 7.244, 10.479 Å; angles 117.90, 105.39, 90.00 degrees
Sites, in units of the cell vectors:
1 Ca 0.588 0.324 0.175
2 Ca 0.000 0.500 0.000
3 Ca 0.623 0.869 0.246
4 Ca 0.204 0.262 0.409
5 Ca 0.796 0.738 0.591
6 Ca 0.377 0.131 0.754
7 Ca 0.412 0.676 0.825
8 Mg 0.000 0.000 0.000
9 Mg 0.193 0.724 0.386
10 Mg 0.807 0.276 0.614

---

[5]
Material: La2TcGe5
Method: DFT, PBE-GGA
State: optimized geometry

Magnetization (μB per formula unit): 0.00
Energy of formation (eV per atom): -0.46
Symmetry: I4mm (107)

Cell lengths 6.193, 6.192, 6.405 Å; angles 118.91, 118.92, 90.00 degrees
Sites, in units of the cell vectors:
1 Ge 0.719 0.719 0.438
2 Ge 0.297 0.297 0.024
3 Ge 0.727 0.727 0.024
4 Ge 0.727 0.297 0.024
5 Ge 0.297 0.727 0.024
6 La 0.265 0.765 0.531
7 La 0.766 0.266 0.531
8 Tc 0.978 0.978 0.957

---

[6]
Material: YAl3Ni
Method: DFT, PBE-GGA
State: optimized geometry

Magnetization (μB per formula unit): 0.00
Energy of formation (eV per atom): -0.33
Symmetry: Pm-3m (221)

Cell lengths 4.540, 4.540, 4.540 Å; angles 90.00, 90.00, 90.00 degrees
Sites, in units of the cell vectors:
1 Ni 0.000 0.000 0.000
2 Al 0.500 0.000 0.000
3 Al 0.000 0.500 0.000
4 Al 0.000 0.000 0.500
5 Y 0.500 0.500 0.500

---

[7]
Material: Er2InCl
Method: DFT, PBE-GGA
State: optimized geometry

Magnetization (μB per formula unit): 0.00
Formation energy without anion corrections (eV per atom): -0.47
Symmetry: R-3m (166)

Cell lengths 3.430, 3.430, 10.874 Å; angles 80.92, 80.92, 60.00 degrees
Sites, in units of the cell vectors:
1 Er 0.902 0.902 0.293
2 Er 0.098 0.098 0.707
3 Cl 0.500 0.500 0.500
4 In 0.000 0.000 0.000

---

[8]
Material: Dy4Y4Cd
Method: DFT, PBE-GGA
State: optimized geometry

Magnetization (μB per formula unit): 0.00
Energy of formation (eV per atom): -0.01
Symmetry: I4/mmm (139)

Cell lengths 4.909, 7.886, 7.886 Å; angles 84.44, 71.87, 71.87 degrees
Sites, in units of the cell vectors:
1 Y 0.663 0.000 0.674
2 Y 0.663 0.674 0.000
3 Y 0.337 0.326 0.000
4 Y 0.337 0.000 0.326
5 Dy 0.336 0.664 0.664
6 Dy 0.000 0.664 0.336
7 Dy 0.664 0.336 0.336
8 Dy 0.000 0.336 0.664
9 Cd 0.000 0.000 0.000

---

[9]
Material: LiBi3O
Method: DFT, PBE-GGA
State: optimized geometry

Magnetization (μB per formula unit): 0.00
Formation energy without anion corrections (eV per atom): -0.24
Symmetry: Pm-3m (221)

Cell lengths 4.982, 4.982, 4.982 Å; angles 90.00, 90.00, 90.00 degrees
Sites, in units of the cell vectors:
1 Bi 0.000 0.000 0.500
2 Bi 0.000 0.500 0.000
3 Bi 0.500 0.000 0.000
4 Li 0.500 0.500 0.500
5 O 0.000 0.000 0.000

---

[10]
Material: V2SnGeP
Method: DFT, PBE-GGA
State: optimized geometry

Magnetization (μB per formula unit): 0.09
Energy of formation (eV per atom): 1.24
Symmetry: P4/mmm (123)

Cell lengths 4.624, 5.100, 4.624 Å; angles 90.00, 90.00, 90.00 degrees
Each line ends with the local moment (μB).
Sites, in units of the cell vectors:
1 V 0.500 0.000 0.000  -0.12
2 V 0.000 0.000 0.500  -0.02
3 P 0.500 0.500 0.500  0.05
4 Ge 0.000 0.000 0.000  0.01
5 Sn 0.000 0.500 0.000  0.01

---

[11]
Material: Sm3HPb
Method: DFT, PBE-GGA
State: optimized geometry

Magnetization (μB per formula unit): 0.00
Raw total energy (eV/atom): -4.657
Symmetry: P2_1/c (14)

Cell lengths 6.715, 6.483, 11.810 Å; angles 95.03, 90.00, 90.00 degrees
Sites, in units of the cell vectors:
1 Sm 0.125 0.890 0.324
2 Sm 0.655 0.326 0.914
3 Sm 0.126 0.203 0.089
4 Sm 0.345 0.674 0.086
5 Sm 0.625 0.110 0.176
6 Sm 0.845 0.326 0.414
7 Sm 0.874 0.797 0.911
8 Sm 0.875 0.110 0.676
9 Sm 0.375 0.890 0.824
10 Sm 0.374 0.203 0.589
11 Sm 0.155 0.674 0.586
12 Sm 0.626 0.797 0.411
13 H 0.176 0.898 0.981
14 H 0.324 0.898 0.481
15 H 0.676 0.102 0.519
16 H 0.824 0.102 0.019
17 Pb 0.318 0.402 0.338
18 Pb 0.182 0.402 0.838
19 Pb 0.818 0.598 0.162
20 Pb 0.682 0.598 0.662

---

[12]
Material: H2IrPd
Method: DFT, PBE-GGA
State: optimized geometry

Magnetization (μB per formula unit): 0.00
Raw total energy (eV/atom): -4.495
Symmetry: Fm-3m (225)

Cell lengths 3.753, 3.753, 3.753 Å; angles 60.00, 60.00, 60.00 degrees
Sites, in units of the cell vectors:
1 H 0.750 0.750 0.750
2 H 0.250 0.250 0.250
3 Pd 0.000 0.000 0.000
4 Ir 0.500 0.500 0.500

---

[13]
Material: LiNdZn2Au2
Method: DFT, PBE-GGA
State: optimized geometry

Magnetization (μB per formula unit): 0.00
Energy of formation (eV per atom): -0.54
Symmetry: P-3m1 (164)

Cell lengths 4.524, 4.524, 6.677 Å; angles 90.00, 90.00, 120.00 degrees
Sites, in units of the cell vectors:
1 Li 0.000 0.000 0.500
2 Nd 0.000 0.000 0.000
3 Au 0.333 0.667 0.722
4 Au 0.667 0.333 0.278
5 Zn 0.333 0.667 0.312
6 Zn 0.667 0.333 0.688

---

[14]
Material: IrOs3
Method: DFT, PBE-GGA
State: optimized geometry

Magnetization (μB per formula unit): 0.00
Energy of formation (eV per atom): 0.09
Symmetry: Pm-3m (221)

Cell lengths 3.859, 3.859, 3.859 Å; angles 90.00, 90.00, 90.00 degrees
Sites, in units of the cell vectors:
1 Os 0.500 0.000 0.500
2 Os 0.000 0.500 0.500
3 Os 0.500 0.500 0.000
4 Ir 0.000 0.000 0.000

---

[15]
Material: MgMnTc
Method: DFT, PBE-GGA
State: optimized geometry

Magnetization (μB per formula unit): 2.49
Energy of formation (eV per atom): 0.24
Symmetry: Fmm2 (42)

Cell lengths 6.917, 6.730, 2.740 Å; angles 82.27, 74.62, 23.11 degrees
Each line ends with the local moment (μB).
Sites, in units of the cell vectors:
1 Tc 0.679 0.679 0.321  -0.32
2 Mn 0.322 0.322 0.678  2.71
3 Mg 0.000 0.000 0.000  -0.01

---

[16]
Material: Dy12SnPd5
Method: DFT, PBE-GGA
State: optimized geometry

Magnetization (μB per formula unit): 0.00
Energy of formation (eV per atom): -0.61
Symmetry: Immm (71)

Cell lengths 8.508, 8.508, 8.508 Å; angles 105.62, 112.25, 110.62 degrees
Sites, in units of the cell vectors:
1 Dy 0.700 0.326 0.026
2 Dy 0.700 0.674 0.375
3 Dy 0.300 0.674 0.974
4 Dy 0.300 0.326 0.625
5 Dy 0.107 0.820 0.287
6 Dy 0.810 0.035 0.225
7 Dy 0.190 0.416 0.225
8 Dy 0.893 0.180 0.713
9 Dy 0.533 0.820 0.713
10 Dy 0.467 0.180 0.287
11 Dy 0.810 0.584 0.775
12 Dy 0.190 0.965 0.775
13 Pd 0.500 0.133 0.633
14 Pd 0.651 0.651 0.000
15 Pd 0.349 0.349 0.000
16 Pd 0.500 0.867 0.367
17 Pd 0.000 0.000 0.000
18 Sn 0.000 0.500 0.500

---

[17]
Material: Y2SiSe
Method: DFT, PBE-GGA
State: optimized geometry

Magnetization (μB per formula unit): 0.00
Formation energy without anion corrections (eV per atom): -0.99
Symmetry: P4/mmm (123)

Cell lengths 3.455, 3.455, 7.528 Å; angles 90.00, 90.00, 90.00 degrees
Sites, in units of the cell vectors:
1 Y 0.000 0.000 0.998
2 Y 0.000 0.000 0.502
3 Si 0.500 0.500 0.750
4 Se 0.500 0.500 0.250

---

[18]
Material: Pm8Tm2Al
Method: DFT, PBE-GGA
State: optimized geometry

Magnetization (μB per formula unit): 0.00
Energy of formation (eV per atom): 0.03
Symmetry: C2/m (12)

Cell lengths 5.484, 7.982, 9.289 Å; angles 111.79, 107.17, 90.00 degrees
Sites, in units of the cell vectors:
1 Tm 0.192 0.658 0.385
2 Tm 0.808 0.342 0.615
3 Pm 0.342 0.093 0.683
4 Pm 0.389 0.578 0.778
5 Pm 0.177 0.217 0.354
6 Pm 0.658 0.907 0.317
7 Pm 0.012 0.762 0.025
8 Pm 0.988 0.238 0.975
9 Pm 0.823 0.783 0.646
10 Pm 0.611 0.422 0.222
11 Al 0.500 0.000 0.000

---

[19]
Material: PmMg2Tl2
Method: DFT, PBE-GGA
State: optimized geometry

Magnetization (μB per formula unit): 0.00
Energy of formation (eV per atom): -0.18
Symmetry: I4/mmm (139)

Cell lengths 4.536, 4.536, 7.184 Å; angles 108.44, 108.40, 90.00 degrees
Sites, in units of the cell vectors:
1 Mg 0.250 0.750 0.500
2 Mg 0.750 0.250 0.500
3 Pm 0.000 0.000 0.000
4 Tl 0.611 0.611 0.222
5 Tl 0.389 0.389 0.778

---

[20]
Material: NiIr3Cl
Method: DFT, PBE-GGA
State: optimized geometry

Magnetization (μB per formula unit): 5.16
Formation energy without anion corrections (eV per atom): 1.88
Symmetry: Pm-3m (221)

Cell lengths 4.569, 4.569, 4.569 Å; angles 90.00, 90.00, 90.00 degrees
Each line ends with the local moment (μB).
Sites, in units of the cell vectors:
1 Ni 0.000 0.000 0.000  0.84
2 Cl 0.500 0.500 0.500  0.27
3 Ir 0.000 0.000 0.500  1.68
4 Ir 0.500 0.000 0.000  0.85
5 Ir 0.000 0.500 0.000  1.41